#w
Cu4Ag5: relaxed, PBE-GGA.

```
Cu4Ag5
1.0
-4.298 4.298 1.883
4.298 -4.298 1.883
4.298 4.298 -1.883
Cu Ag
4 5
Cartesian
3.011 0.000 0.000
5.585 0.000 0.000
0.000 3.011 0.000
0.000 5.585 0.000
0.000 0.000 0.000
2.845 2.845 0.000
1.453 -1.453 1.883
-1.453 1.453 1.883
1.453 1.453 1.883
```

Results
space group = I4/mmm, No. 139

#x
Cu4Ag5: relaxed, PBE-GGA.

```
Cu4Ag5
1.0
7.765 0.000 0.000
-3.883 6.725 0.000
0.000 0.000 5.379
Cu Ag
8 10
Cartesian
0.000 0.000 0.000
0.000 0.000 2.690
-1.349 2.336 1.345
-2.534 4.389 4.034
2.697 0.000 1.345
1.349 2.336 4.034
5.068 0.000 4.034
2.534 4.389 1.345
-1.215 2.105 4.034
-2.667 4.620 1.345
2.430 0.000 4.034
1.215 2.105 1.345
0.000 4.483 0.000
0.000 4.483 2.690
3.883 2.242 0.000
3.883 2.242 2.690
5.335 0.000 1.345
2.667 4.620 4.034
```

Results
space group = P6_3/mcm, No. 193

Most stable to least stable, the ends of the list are #w and #x.

#w
Cu3Ag5: relaxed, PBE-GGA.

```
Cu3Ag5
1.0
2.514 -7.083 0.000
2.514 7.083 0.000
-2.472 0.000 7.265
Cu Ag
6 10
Cartesian
2.514 4.708 0.000
1.278 3.470 3.632
0.364 0.000 4.761
2.192 0.000 2.504
1.278 -3.470 3.632
2.514 -4.708 0.000
-0.116 1.442 2.563
-1.209 0.000 6.945
0.104 2.481 5.825
-0.116 -1.442 2.563
2.452 2.481 1.440
0.104 -2.481 5.825
2.672 1.442 4.702
2.452 -2.481 1.440
3.765 0.000 0.319
2.672 -1.442 4.702
```

Results
space group = C2/m, No. 12

#x
Cu3Ag5: relaxed, PBE-GGA.

```
Cu3Ag5
1.0
7.598 0.000 0.000
-3.799 6.580 0.000
0.000 0.000 5.229
Cu Ag
6 10
Cartesian
-1.546 2.677 1.307
-2.253 3.903 3.922
3.091 0.000 1.307
1.546 2.677 3.922
4.507 0.000 3.922
2.253 3.903 1.307
-0.886 1.534 3.922
-2.913 5.046 1.307
1.772 0.000 3.922
0.886 1.534 1.307
0.000 4.387 0.000
0.000 4.387 2.615
3.799 2.193 0.000
3.799 2.193 2.615
5.826 0.000 1.307
2.913 5.046 3.922
```

Results
space group = P6_3/mcm, No. 193

Most stable to least stable, the ends of the list are #w and #x.

#w
Cu3Ag4: relaxed, PBE-GGA.

```
Cu3Ag4
1.0
4.927 0.000 0.000
-2.463 4.267 0.000
0.000 0.000 5.236
Cu Ag
3 4
Cartesian
-1.232 2.133 0.000
2.463 0.000 0.000
1.232 2.133 0.000
0.000 0.000 1.314
0.000 0.000 3.922
0.000 2.844 2.618
2.463 1.422 2.618
```

Results
space group = P6/mmm, No. 191

#x
Cu3Ag4: relaxed, PBE-GGA.

```
Cu3Ag4
1.0
-1.415 1.415 13.507
1.415 -1.415 13.507
1.415 1.415 -13.507
Cu Ag
3 4
Cartesian
0.000 0.000 0.000
0.000 0.000 7.520
0.000 0.000 19.494
0.000 0.000 4.097
0.000 0.000 11.619
0.000 0.000 15.395
0.000 0.000 22.918
```

Results
space group = I4/mmm, No. 139

Most stable to least stable, the ends of the list are #x and #w.

#w
CuAg8: relaxed, PBE-GGA.

```
CuAg8
1.0
-4.496 4.496 1.941
4.496 -4.496 1.941
4.496 4.496 -1.941
Cu Ag
1 8
Cartesian
0.000 0.000 0.000
2.977 0.000 0.000
6.015 0.000 0.000
0.000 2.977 0.000
3.041 3.041 0.000
1.455 -1.455 1.941
-1.455 1.455 1.941
1.455 1.455 1.941
0.000 6.015 0.000
```

Results
space group = I4/mmm, No. 139

#x
CuAg8: relaxed, PBE-GGA.

```
CuAg8
1.0
-5.156 5.156 1.489
5.156 -5.156 1.489
5.156 5.156 -1.489
Cu Ag
1 8
Cartesian
0.000 0.000 0.000
3.436 0.000 0.000
6.875 0.000 0.000
0.000 3.436 0.000
3.512 3.512 0.000
1.644 -1.644 1.489
-1.644 1.644 1.489
1.644 1.644 1.489
0.000 6.875 0.000
```

Results
space group = I4/mmm, No. 139

Most stable to least stable, the ends of the list are #w and #x.